## CsCrRh2F (PBE+U)

Data for crystalline CsCrRh2F at its relaxed geometry.

a = 5.2195 Å, b = 3.8660 Å, c = 5.2195 Å
α = 90.00°, β = 90.00°, γ = 90.00°
Each line ends with the local moment (μB).
Fractional coordinates of all 5 atoms:
Cs 0.5000 0.5000 0.5000  0.01
Cr 0.0000 0.5000 0.0000  3.87
Rh 0.0000 0.0000 0.5000  -0.55
Rh 0.5000 0.0000 0.0000  -0.73
F 0.0000 0.0000 0.0000  -0.02

Results
- Crystal system: tetragonal
- E_tot: -22.14 eV/cell
- Magnetization: 2.88 Bohr magnetons per cell
- N(E_F): 1.62 states/eV per atom